Density functional theory data (PBE) for crystalline TlInPt2 at its relaxed geometry.

a = 3.324 Å, b = 3.324 Å, c = 6.969 Å
α = 90.00°, β = 90.00°, γ = 90.00°
Sites, in units of the cell vectors:
Tl1 0.000 0.000 0.000
In1 0.000 0.000 0.500
Pt1 0.500 0.500 0.277
Pt2 0.500 0.500 0.723

Summary:
Calculated total energy in eV/atom: -4.4459
Fermi-level density of states in states/eV/atom: 0.498
ΔE_f in meV/atom: -149

---

Density functional theory data (PBE) for crystalline HfFe3Cl at its relaxed geometry.

a = 4.142 Å, b = 4.142 Å, c = 4.142 Å
α = 90.00°, β = 90.00°, γ = 90.00°
Sites, in units of the cell vectors:
Hf1 0.000 0.000 0.000
Fe1 0.000 0.500 0.500
Fe2 0.500 0.000 0.500
Fe3 0.500 0.500 0.000
Cl1 0.500 0.500 0.500

Summary:
Calculated total energy in eV/atom: -6.8988
Energy relative to the lowest polymorph listed for this composition in eV per atom: 0.0000
Fermi-level density of states in states/eV/atom: 0.626

---

Among the records above, which one has the highest calculated total energy? TlInPt2

---

Number 1 is which compound? TlInPt2